Record 1
DFT (GGA-PBE) results for a relaxed YCr crystal.

The structure in CIF format:
```
data_YCr
_chemical_formula_sum 'Y8 Cr8'
_cell_length_a 8.007
_cell_length_b 8.007
_cell_length_c 8.007
_cell_angle_alpha 90.00
_cell_angle_beta 90.00
_cell_angle_gamma 90.00
_symmetry_space_group_name_H-M 'I -4 3 m'
_symmetry_Int_Tables_number 217
_symmetry_space_group_name_Hall 'I -4 2 3'
loop_
_atom_site_label
_atom_site_type_symbol
_atom_site_fract_x
_atom_site_fract_y
_atom_site_fract_z
_atom_site_occupancy
Y1 Y 0.220 0.220 0.780 1
Cr1 Cr 0.101 0.101 0.101 1
```


Record 2
DFT (GGA-PBE) results for a relaxed YCr3 crystal.

The structure in CIF format:
```
data_YCr3
_chemical_formula_sum 'Y2 Cr6'
_cell_length_a 4.993
_cell_length_b 4.993
_cell_length_c 4.993
_cell_angle_alpha 90.00
_cell_angle_beta 90.00
_cell_angle_gamma 90.00
_symmetry_space_group_name_H-M 'P m -3 n'
_symmetry_Int_Tables_number 223
_symmetry_space_group_name_Hall '-P 4n 2 3'
loop_
_atom_site_label
_atom_site_type_symbol
_atom_site_fract_x
_atom_site_fract_y
_atom_site_fract_z
_atom_site_occupancy
Y1 Y 0.000 0.000 0.000 1
Cr1 Cr 0.000 0.250 0.500 1
```


Record 3
DFT (GGA-PBE) results for a relaxed YCr crystal.

The structure in CIF format:
```
data_YCr
_chemical_formula_sum 'Y2 Cr2'
_cell_length_a 5.0817
_cell_length_b 5.0817
_cell_length_c 5.7544
_cell_angle_alpha 90.00
_cell_angle_beta 90.00
_cell_angle_gamma 120.00
_symmetry_space_group_name_H-M 'P 63/m m c'
_symmetry_Int_Tables_number 194
_symmetry_space_group_name_Hall '-P 6c 2c'
loop_
_atom_site_label
_atom_site_type_symbol
_atom_site_fract_x
_atom_site_fract_y
_atom_site_fract_z
_atom_site_occupancy
Y1 Y 0.3333 0.6667 0.2500 1
Cr1 Cr 0.3333 0.6667 0.7500 1
```


Record 4
DFT (GGA-PBE) results for a relaxed YCr3 crystal.

The structure in CIF format:
```
data_YCr3
_chemical_formula_sum 'Y4 Cr12'
_cell_length_a 6.1187
_cell_length_b 6.1187
_cell_length_c 8.9629
_cell_angle_alpha 90.00
_cell_angle_beta 90.00
_cell_angle_gamma 120.00
_symmetry_space_group_name_H-M 'P 63/m m c'
_symmetry_Int_Tables_number 194
_symmetry_space_group_name_Hall '-P 6c 2c'
loop_
_atom_site_label
_atom_site_type_symbol
_atom_site_fract_x
_atom_site_fract_y
_atom_site_fract_z
_atom_site_occupancy
Y1 Y 0.0000 0.0000 0.0000 1
Y2 Y 0.3333 0.6667 0.2500 1
Cr1 Cr 0.0000 0.5000 0.0000 1
Cr2 Cr 0.1837 0.3673 0.7500 1
```


Record 5
DFT (GGA-PBE) results for a relaxed YCr3 crystal.

The structure in CIF format:
```
data_YCr3
_chemical_formula_sum 'Y2 Cr6'
_cell_length_a 6.2737
_cell_length_b 6.2737
_cell_length_c 4.1020
_cell_angle_alpha 90.00
_cell_angle_beta 90.00
_cell_angle_gamma 120.00
_symmetry_space_group_name_H-M 'P 63/m m c'
_symmetry_Int_Tables_number 194
_symmetry_space_group_name_Hall '-P 6c 2c'
loop_
_atom_site_label
_atom_site_type_symbol
_atom_site_fract_x
_atom_site_fract_y
_atom_site_fract_z
_atom_site_occupancy
Y1 Y 0.3333 0.6667 0.2500 1
Cr1 Cr 0.1246 0.2493 0.7500 1
```


Record 6
DFT (GGA-PBE) results for a relaxed Y3Cr crystal.

The structure in CIF format:
```
data_Y3Cr
_chemical_formula_sum 'Y3 Cr1'
_cell_length_a 3.510
_cell_length_b 5.029
_cell_length_c 6.568
_cell_angle_alpha 90.00
_cell_angle_beta 104.35
_cell_angle_gamma 90.00
_symmetry_space_group_name_H-M 'P 1 2/m 1'
_symmetry_Int_Tables_number 10
loop_
_symmetry_equiv_pos_as_xyz
'x,y,z'
'-x,-y,-z'
'-x,y,-z'
'x,-y,z'
loop_
_atom_site_label
_atom_site_type_symbol
_atom_site_fract_x
_atom_site_fract_y
_atom_site_fract_z
_atom_site_occupancy
Y1 Y 0.000 0.000 0.000 1
Y2 Y 0.397 0.500 0.729 1
Cr1 Cr 0.000 0.000 0.500 1
```


Record 7
DFT (GGA-PBE) results for a relaxed YCr crystal.

The structure in CIF format:
```
data_YCr
_chemical_formula_sum 'Y2 Cr2'
_cell_length_a 3.128
_cell_length_b 3.128
_cell_length_c 8.437
_cell_angle_alpha 90.00
_cell_angle_beta 90.00
_cell_angle_gamma 90.00
_symmetry_space_group_name_H-M 'P 4/n m m'
_symmetry_Int_Tables_number 129
loop_
_symmetry_equiv_pos_as_xyz
'x,y,z'
'-x,-y,-z'
'-y+1/2,x,z'
'y+1/2,-x,-z'
'-x+1/2,-y+1/2,z'
'x+1/2,y+1/2,-z'
'y,-x+1/2,z'
'-y,x+1/2,-z'
'x+1/2,-y,-z'
'-x+1/2,y,z'
'-y,-x,-z'
'y,x,z'
'-x,y+1/2,-z'
'x,-y+1/2,z'
'y+1/2,x+1/2,-z'
'-y+1/2,-x+1/2,z'
loop_
_atom_site_label
_atom_site_type_symbol
_atom_site_fract_x
_atom_site_fract_y
_atom_site_fract_z
_atom_site_occupancy
Y1 Y 0.250 0.250 0.190 1
Cr1 Cr 0.250 0.250 0.559 1
```


Record 8
DFT (GGA-PBE) results for a relaxed YCr crystal.

The structure in CIF format:
```
data_YCr
_chemical_formula_sum 'Y4 Cr4'
_cell_length_a 3.7711
_cell_length_b 3.7711
_cell_length_c 15.2943
_cell_angle_alpha 90.00
_cell_angle_beta 90.00
_cell_angle_gamma 120.00
_symmetry_space_group_name_H-M 'P 63/m m c'
_symmetry_Int_Tables_number 194
_symmetry_space_group_name_Hall '-P 6c 2c'
loop_
_atom_site_label
_atom_site_type_symbol
_atom_site_fract_x
_atom_site_fract_y
_atom_site_fract_z
_atom_site_occupancy
Y1 Y 0.3333 0.6667 0.1070 1
Cr1 Cr 0.0000 0.0000 0.2500 1
Cr2 Cr 0.3333 0.6667 0.7500 1
```


| no. | VASP energy (eV/atom) | E_form (eV/atom) | D(E_F) (states/eV per cell) |
| --- | --- | --- | --- |
| 1 | -6.6866 | 1.357 | 27.198 |
| 2 | -7.9313 | 0.902 | 13.169 |
| 3 | -6.7179 | 1.326 | 3.693 |
| 4 | -8.1944 | 0.639 | 15.581 |
| 5 | -8.3409 | 0.493 | 9.025 |
| 6 | -6.9189 | 0.335 | 5.884 |
| 7 | -7.6911 | 0.353 | 6.906 |
| 8 | -7.7423 | 0.301 | 10.138 |